First-principles (PBE+U) data for a relaxed structure of NdMn3B4O12, as listed in Alexandria via LeMat-Bulk.

Density ... 4.2 g cm⁻³
Space group ... No. 155
Total energy ... -7.898 eV/atom

Structure (POSCAR):
```
NdMn3B4O12
1.0
6.191 0.026 0.036
-1.467 6.015 0.036
-1.467 -1.875 5.715
Nd Mn B O
1 3 4 12
direct
0.000 0.000 0.000
0.548 0.452 0.000
0.452 0.000 0.548
0.000 0.548 0.452
0.950 0.050 0.500
0.050 0.500 0.950
0.500 0.950 0.050
0.500 0.500 0.500
0.500 0.357 0.643
0.906 0.500 0.094
0.094 0.906 0.500
0.500 0.094 0.906
0.373 0.976 0.205
0.205 0.373 0.976
0.976 0.205 0.373
0.627 0.795 0.024
0.024 0.627 0.795
0.795 0.024 0.627
0.643 0.500 0.357
0.357 0.643 0.500
```